No. 1
# KPu2CdO8

Crystalline KPu2CdO8 at its relaxed geometry (GGA-PBE, Alexandria via LeMat-Bulk). Values from VASP.

Its uncorrected formation energy is -1568 meV/atom. As for the space-group type: No. 147.

Cell and atoms, written as Quantum ESPRESSO input:
```
&SYSTEM
  ibrav = 0, nat = 12, ntyp = 4
/
ATOMIC_SPECIES
O 16.00 O.upf
K 39.10 K.upf
Pu 244.00 Pu.upf
Cd 112.41 Cd.upf
CELL_PARAMETERS angstrom
6.209 0.000 0.000
-3.105 5.377 0.000
0.000 0.000 6.802
ATOMIC_POSITIONS crystal
O 0.333 0.667 0.681
O 0.409 0.339 0.872
O 0.661 0.070 0.872
O 0.591 0.661 0.128
K 0.000 0.000 0.000
Pu 0.333 0.667 0.950
O 0.930 0.591 0.872
O 0.667 0.333 0.319
Cd 0.000 0.000 0.500
O 0.070 0.409 0.128
O 0.339 0.930 0.128
Pu 0.667 0.333 0.050
```

No. 2
# K4Pu3CdO12

Crystalline K4Pu3CdO12 at its relaxed geometry (GGA-PBE, Alexandria via LeMat-Bulk). Values from VASP.

Its uncorrected formation energy is -2283 meV/atom. As for the space-group type: No. 229.

Cell and atoms, written as Quantum ESPRESSO input:
```
&SYSTEM
  ibrav = 0, nat = 20, ntyp = 4
/
ATOMIC_SPECIES
Pu 244.00 Pu.upf
K 39.10 K.upf
O 16.00 O.upf
Cd 112.41 Cd.upf
CELL_PARAMETERS angstrom
-0.479 -2.778 6.859
3.363 -4.908 -4.426
3.926 6.289 0.150
ATOMIC_POSITIONS crystal
Pu 0.500 0.000 0.500
K 0.500 0.500 0.500
O 0.250 0.750 0.500
O 0.500 0.250 0.750
O 0.273 0.000 0.273
Pu 0.500 0.500 0.000
O 0.727 0.000 0.727
K 0.000 0.500 0.000
O 0.500 0.750 0.250
O 0.750 0.500 0.250
Pu 0.000 0.500 0.500
O 0.000 0.727 0.727
O 0.273 0.273 0.000
O 0.727 0.727 0.000
O 0.750 0.250 0.500
Cd 0.000 0.000 0.000
K 0.000 0.000 0.500
O 0.000 0.273 0.273
K 0.500 0.000 0.000
O 0.250 0.500 0.750
```

No. 3
# K3PuCd2O6

Crystalline K3PuCd2O6 at its relaxed geometry (GGA-PBE, Alexandria via LeMat-Bulk). Values from VASP.

Its uncorrected formation energy is -1748 meV/atom. As for the space-group type: No. 12.

Cell and atoms, written as Quantum ESPRESSO input:
```
&SYSTEM
  ibrav = 0, nat = 12, ntyp = 4
/
ATOMIC_SPECIES
K 39.10 K.upf
O 16.00 O.upf
Cd 112.41 Cd.upf
Pu 244.00 Pu.upf
CELL_PARAMETERS angstrom
5.969 -0.017 0.010
-2.997 5.162 0.010
-0.981 -1.699 6.234
ATOMIC_POSITIONS crystal
K 0.500 0.500 0.500
O 0.067 0.371 0.195
Cd 0.667 0.333 0.000
Pu 0.000 0.000 0.000
O 0.629 0.933 0.805
K 0.175 0.825 0.500
K 0.825 0.175 0.500
O 0.235 0.235 0.802
O 0.371 0.067 0.195
Cd 0.333 0.667 0.000
O 0.933 0.629 0.805
O 0.765 0.765 0.198
```

No. 4
# KRb5Cd2O

Crystalline KRb5Cd2O at its relaxed geometry (GGA-PBE, Alexandria via LeMat-Bulk). Values from VASP.

Its uncorrected formation energy is -321 meV/atom. As for the space-group type: No. 107.

Cell and atoms, written as Quantum ESPRESSO input:
```
&SYSTEM
  ibrav = 0, nat = 9, ntyp = 4
/
ATOMIC_SPECIES
Rb 85.47 Rb.upf
K 39.10 K.upf
Cd 112.41 Cd.upf
O 16.00 O.upf
CELL_PARAMETERS angstrom
-4.894 -2.624 6.403
6.002 -5.159 -3.033
5.718 6.105 1.366
ATOMIC_POSITIONS crystal
Rb 0.000 0.228 0.771
Rb 0.543 0.771 0.771
Rb 0.000 0.771 0.228
Rb 0.000 0.229 0.229
K 0.000 0.777 0.777
Cd 0.500 0.750 0.250
O 0.000 0.997 0.997
Cd 0.500 0.250 0.750
Rb 0.457 0.228 0.228
```

No. 5
# K2Rb4Cd2O

Crystalline K2Rb4Cd2O at its relaxed geometry (GGA-PBE, Alexandria via LeMat-Bulk). Values from VASP.

Its uncorrected formation energy is -316 meV/atom. As for the space-group type: No. 12.

Cell and atoms, written as Quantum ESPRESSO input:
```
&SYSTEM
  ibrav = 0, nat = 9, ntyp = 4
/
ATOMIC_SPECIES
K 39.10 K.upf
O 16.00 O.upf
Cd 112.41 Cd.upf
Rb 85.47 Rb.upf
CELL_PARAMETERS angstrom
-2.922 -6.358 -0.604
0.900 -1.435 8.070
-6.102 2.060 5.149
ATOMIC_POSITIONS crystal
K 0.722 0.848 0.848
O 0.500 0.000 0.000
Cd 0.221 0.669 0.669
Cd 0.779 0.331 0.331
Rb 0.714 0.323 0.842
Rb 0.286 0.158 0.677
Rb 0.714 0.842 0.323
Rb 0.286 0.677 0.158
K 0.278 0.152 0.152
```

No. 6
# KRbCdO2

Crystalline KRbCdO2 at its relaxed geometry (GGA-PBE, Alexandria via LeMat-Bulk). Values from VASP.

The offset from the most stable computed form comes out at 1154 meV per atom. Its uncorrected formation energy is 101 meV/atom. As for the space-group type: No. 123.

Cell and atoms, written as Quantum ESPRESSO input:
```
&SYSTEM
  ibrav = 0, nat = 5, ntyp = 4
/
ATOMIC_SPECIES
Cd 112.41 Cd.upf
Rb 85.47 Rb.upf
O 16.00 O.upf
K 39.10 K.upf
CELL_PARAMETERS angstrom
-2.328 4.693 0.259
-4.665 -2.482 3.045
2.449 0.964 4.537
ATOMIC_POSITIONS crystal
Cd 0.500 0.500 0.500
Rb 0.000 0.500 0.000
O 0.500 0.000 0.000
K 0.000 0.000 0.000
O 0.000 0.000 0.500
```

No. 7
# KRbCdO2

Crystalline KRbCdO2 at its relaxed geometry (GGA-PBE, Alexandria via LeMat-Bulk). Values from VASP.

The offset from the most stable computed form comes out at 0 meV per atom. Its uncorrected formation energy is -1053 meV/atom. As for the space-group type: No. 12.

Cell and atoms, written as Quantum ESPRESSO input:
```
&SYSTEM
  ibrav = 0, nat = 10, ntyp = 4
/
ATOMIC_SPECIES
O 16.00 O.upf
Cd 112.41 Cd.upf
K 39.10 K.upf
Rb 85.47 Rb.upf
CELL_PARAMETERS angstrom
-3.585 -0.576 -1.324
-1.446 -7.469 1.522
-4.552 0.414 6.505
ATOMIC_POSITIONS crystal
O 0.408 0.848 0.336
O 0.857 0.225 0.061
Cd 0.058 0.070 0.815
K 0.634 0.609 0.122
Rb 0.204 0.216 0.375
K 0.366 0.391 0.878
Rb 0.796 0.784 0.625
O 0.592 0.152 0.664
Cd 0.942 0.930 0.185
O 0.143 0.775 0.939
```

No. 8
# KCdRe2O8

Crystalline KCdRe2O8 at its relaxed geometry (GGA-PBE, Alexandria via LeMat-Bulk). Values from VASP.

Its uncorrected formation energy is -1563 meV/atom. As for the space-group type: No. 12.

Cell and atoms, written as Quantum ESPRESSO input:
```
&SYSTEM
  ibrav = 0, nat = 12, ntyp = 4
/
ATOMIC_SPECIES
O 16.00 O.upf
K 39.10 K.upf
Re 186.21 Re.upf
Cd 112.41 Cd.upf
CELL_PARAMETERS angstrom
6.177 0.000 0.000
3.089 5.475 0.487
3.089 2.513 6.688
ATOMIC_POSITIONS crystal
O 0.593 0.041 0.243
O 0.877 0.959 0.757
O 0.351 0.403 0.894
O 0.121 0.512 0.245
K 0.500 0.500 0.500
O 0.123 0.041 0.243
Re 0.707 0.753 0.834
Cd 0.000 0.000 0.000
Re 0.293 0.247 0.166
O 0.649 0.597 0.106
O 0.879 0.488 0.755
O 0.407 0.959 0.757
```

Please write out number 6 again, unchanged.
# KRbCdO2

Crystalline KRbCdO2 at its relaxed geometry (GGA-PBE, Alexandria via LeMat-Bulk). Values from VASP.

The offset from the most stable computed form comes out at 1154 meV per atom. Its uncorrected formation energy is 101 meV/atom. As for the space-group type: No. 123.

Cell and atoms, written as Quantum ESPRESSO input:
```
&SYSTEM
  ibrav = 0, nat = 5, ntyp = 4
/
ATOMIC_SPECIES
Cd 112.41 Cd.upf
Rb 85.47 Rb.upf
O 16.00 O.upf
K 39.10 K.upf
CELL_PARAMETERS angstrom
-2.328 4.693 0.259
-4.665 -2.482 3.045
2.449 0.964 4.537
ATOMIC_POSITIONS crystal
Cd 0.500 0.500 0.500
Rb 0.000 0.500 0.000
O 0.500 0.000 0.000
K 0.000 0.000 0.000
O 0.000 0.000 0.500
```